{
  "formula": "TiAl2O5",
  "functional": "PBE",
  "state": "relaxed",
  "e_above_lowest_polymorph_kcal_per_mol_atoms": 0.00,
  "dos_at_fermi_per_ev_atom": 0.000,
  "space_group": "Cmcm",
  "volume_a3_per_cell": 167,
  "formation_energy_uncorrected_ev_per_fu": -24.0,
  "cell": [[-0.392, 5.002, 0.662], [-3.037, -3.911, -1.048], [-1.515, -1.383, 9.555]],
  "species": ["Ti", "Ti", "Al", "Al", "Al", "Al", "O", "O", "O", "O", "O", "O", "O", "O", "O", "O"],
  "frac_coords": [[0.817, 0.183, 0.750], [0.183, 0.817, 0.250], [0.859, 0.141, 0.444], [0.141, 0.859, 0.556], [0.859, 0.141, 0.056], [0.141, 0.859, 0.944], [0.688, 0.312, 0.567], [0.312, 0.688, 0.433], [0.312, 0.688, 0.067], [0.688, 0.312, 0.933], [0.956, 0.044, 0.617], [0.044, 0.956, 0.383], [0.237, 0.763, 0.750], [0.763, 0.237, 0.250], [0.956, 0.044, 0.883], [0.044, 0.956, 0.117]]
}